Entry from the Alexandria database: a geometry-optimized CrAu2Se structure (PBE-GGA).

As for the uncorrected formation energy: 92.6 kJ/mol of formula units. Its space group is No. 122. As for the final energy: -4.6756 eV per atom.

Lattice parameters (Å, degrees): 7.6592 7.6592 5.3200 90.00 90.00 90.00
With the nearest neighbours (Å) after each atom.
Fractional coordinates of all 16 atoms:
Cr (0.0000, 0.0000, 0.0000)  2 Se 2.66, 4 Au 2.82
Cr (0.0000, 0.5000, 0.2500)  2 Se 2.66, 4 Au 2.82
Cr (0.5000, 0.0000, 0.7500)  2 Se 2.66, 4 Au 2.82
Cr (0.5000, 0.5000, 0.5000)  2 Se 2.66, 4 Au 2.82
Au (0.2445, 0.2500, 0.6250)  2 Au 2.66, 2 Se 2.76, 2 Cr 2.82
Au (0.2500, 0.7445, 0.8750)  2 Au 2.66, 2 Se 2.76, 2 Cr 2.82
Au (0.2500, 0.7555, 0.3750)  2 Au 2.66, 2 Se 2.76, 2 Cr 2.82
Au (0.2555, 0.2500, 0.1250)  2 Au 2.66, 2 Se 2.76, 2 Cr 2.82
Au (0.7445, 0.7500, 0.1250)  2 Au 2.66, 2 Se 2.76, 2 Cr 2.82
Au (0.7500, 0.2445, 0.3750)  2 Au 2.66, 2 Se 2.76, 2 Cr 2.82
Au (0.7500, 0.2555, 0.8750)  2 Au 2.66, 2 Se 2.76, 2 Cr 2.82
Au (0.7555, 0.7500, 0.6250)  2 Au 2.66, 2 Se 2.76, 2 Cr 2.82
Se (0.0000, 0.0000, 0.5000)  2 Cr 2.66, 4 Au 2.76
Se (0.0000, 0.5000, 0.7500)  2 Cr 2.66, 4 Au 2.76
Se (0.5000, 0.0000, 0.2500)  2 Cr 2.66, 4 Au 2.76
Se (0.5000, 0.5000, 0.0000)  2 Cr 2.66, 4 Au 2.76

=====

Entry from the Alexandria database: a geometry-optimized AlMo2N structure (PBE-GGA).

The calculation puts the energy relative to the lowest polymorph listed for this composition at 0.846 eV/atom. As for the uncorrected formation energy: 376.8 kJ/mol of formula units. Its space group is No. 225. As for the final energy: -7.4562 eV per atom.

Lattice parameters (Å, degrees): 5.9633 5.9633 5.9633 90.00 90.00 90.00
With the nearest neighbours (Å) after each atom.
Fractional coordinates of all 16 atoms:
Al (0.0000, 0.0000, 0.0000)  8 Mo 2.58
Al (0.0000, 0.5000, 0.5000)  8 Mo 2.58
Al (0.5000, 0.0000, 0.5000)  8 Mo 2.58
Al (0.5000, 0.5000, 0.0000)  8 Mo 2.58
Mo (0.2500, 0.2500, 0.2500)  4 N 2.58, 4 Al 2.58
Mo (0.2500, 0.2500, 0.7500)  4 Al 2.58, 4 N 2.58
Mo (0.2500, 0.7500, 0.2500)  4 Al 2.58, 4 N 2.58
Mo (0.2500, 0.7500, 0.7500)  4 N 2.58, 4 Al 2.58
Mo (0.7500, 0.2500, 0.2500)  4 Al 2.58, 4 N 2.58
Mo (0.7500, 0.2500, 0.7500)  4 N 2.58, 4 Al 2.58
Mo (0.7500, 0.7500, 0.2500)  4 N 2.58, 4 Al 2.58
Mo (0.7500, 0.7500, 0.7500)  4 Al 2.58, 4 N 2.58
N (0.0000, 0.0000, 0.5000)  8 Mo 2.58
N (0.0000, 0.5000, 0.0000)  8 Mo 2.58
N (0.5000, 0.0000, 0.0000)  8 Mo 2.58
N (0.5000, 0.5000, 0.5000)  8 Mo 2.58

=====

Number 1: theoretical density 11171 kg/m³. Number 2: theoretical density 7294 kg/m³.